Record 1
First-principles (PBE-GGA) data for Mg4Zn2Cd3 after structural relaxation, as listed in Alexandria via LeMat-Bulk.

Unit cell a=4.6362 b=5.0169 c=8.9394 alpha=82.55 beta=90.00 gamma=62.48
Fractional coordinates of all 9 atoms:
Mg 0.6680 0.6640 0.8853
Cd 0.6645 0.6710 0.5449
Cd 0.3355 0.3290 0.4551
Cd 0.0000 0.0000 0.0000
Mg 0.0028 0.9943 0.3238
Zn 0.6670 0.6659 0.2136
Zn 0.3330 0.3341 0.7864
Mg 0.3320 0.3360 0.1147
Mg 0.9972 0.0057 0.6762

Summary:
Its space group is No. 12.

Record 2
First-principles (PBE-GGA) data for LaTcSe2Br after structural relaxation, as listed in Alexandria via LeMat-Bulk.

Unit cell a=5.0028 b=5.0028 c=4.9805 alpha=90.00 beta=90.00 gamma=90.00
Last column: magnetic moment on the atom in μB.
Fractional coordinates of all 5 atoms:
La 0.5000 0.5000 0.5000  0.03
Se 0.0000 0.5000 0.0000  0.04
Se 0.5000 0.0000 0.0000  0.04
Br 0.0000 0.0000 0.5000  0.01
Tc 0.0000 0.0000 0.0000  1.51

Summary:
The energy above the most stable polymorph in this dataset comes out at 0.000 eV/atom. Its space group is No. 123. As for the formation energy from raw total energies: -590 meV per atom.

Record 3
First-principles (PBE-GGA) data for Ba3LiBi3 after structural relaxation, as listed in Alexandria via LeMat-Bulk.

Unit cell a=5.0363 b=7.0528 c=17.0333 alpha=78.12 beta=81.50 gamma=69.08
Fractional coordinates of all 14 atoms:
Bi 0.1508 0.2626 0.4359
Ba 0.2546 0.2604 0.2304
Li 0.7548 0.0678 0.4226
Bi 0.9660 0.8334 0.2345
Ba 0.5397 0.3160 0.6046
Bi 0.8492 0.7374 0.5641
Li 0.2452 0.9322 0.5774
Bi 0.1436 0.7993 0.9136
Bi 0.0340 0.1666 0.7655
Ba 0.4603 0.6840 0.3954
Ba 0.4192 0.2424 0.9191
Ba 0.5808 0.7576 0.0809
Bi 0.8564 0.2007 0.0864
Ba 0.7454 0.7396 0.7696

Summary:
Its space group is No. 12.

Energy / eV/cell: -12.15 -26.89 -49.90
Magnetic moment / Bohr magnetons per cell: 0.00 1.90 0.00